VASP calculation (PBE) on a relaxed CoPtBr2 crystal.

The structure in CIF format:
```
data_CoPtBr2
_chemical_formula_sum 'Co2 Pt2 Br4'
_cell_length_a 14.1656
_cell_length_b 3.4051
_cell_length_c 4.2797
_cell_angle_alpha 90.00
_cell_angle_beta 95.74
_cell_angle_gamma 90.00
_symmetry_space_group_name_H-M 'C 1 2/m 1'
_symmetry_Int_Tables_number 12
loop_
_symmetry_equiv_pos_as_xyz
'x,y,z'
'-x,-y,-z'
'-x,y,-z'
'x,-y,z'
'x+1/2,y+1/2,z'
'-x+1/2,-y+1/2,-z'
'-x+1/2,y+1/2,-z'
'x+1/2,-y+1/2,z'
loop_
_atom_site_label
_atom_site_fract_x
_atom_site_fract_y
_atom_site_fract_z
Co1 0.0000 0.0000 0.0000
Pt1 0.0000 0.5000 0.5000
Br1 0.1341 0.5000 0.1862
```

Summary:
* raw formation energy: 0.13 eV/atom

=====

VASP calculation (PBE) on a relaxed CoPtBr2 crystal.

The structure in CIF format:
```
data_CoPtBr2
_chemical_formula_sum 'Co4 Pt4 Br8'
_cell_length_a 6.6880
_cell_length_b 6.6880
_cell_length_c 6.6880
_cell_angle_alpha 90.00
_cell_angle_beta 90.00
_cell_angle_gamma 90.00
_symmetry_space_group_name_H-M 'F m -3 m'
_symmetry_Int_Tables_number 225
_symmetry_space_group_name_Hall '-F 4 2 3'
loop_
_atom_site_label
_atom_site_fract_x
_atom_site_fract_y
_atom_site_fract_z
Co1 0.0000 0.0000 0.0000
Pt1 0.0000 0.0000 0.5000
Br1 0.2500 0.2500 0.2500
```

Summary:
* raw formation energy: 0.81 eV/atom

=====

VASP calculation (PBE) on a relaxed CoPtBr crystal.

The structure in CIF format:
```
data_CoPtBr
_chemical_formula_sum 'Co2 Pt2 Br2'
_cell_length_a 2.9479
_cell_length_b 2.9479
_cell_length_c 12.5902
_cell_angle_alpha 90.00
_cell_angle_beta 90.00
_cell_angle_gamma 90.00
_symmetry_space_group_name_H-M 'I 4 m m'
_symmetry_Int_Tables_number 107
_symmetry_space_group_name_Hall 'I 4 -2'
loop_
_atom_site_label
_atom_site_fract_x
_atom_site_fract_y
_atom_site_fract_z
Co1 0.0000 0.0000 0.0000
Pt1 0.0000 0.0000 0.3749
Br1 0.0000 0.0000 0.6379
```

Summary:
* raw formation energy: 0.48 eV/atom

=====

VASP calculation (PBE) on a relaxed CoPtBr2 crystal.

The structure in CIF format:
```
data_CoPtBr2
_chemical_formula_sum 'Co2 Pt2 Br4'
_cell_length_a 3.1885
_cell_length_b 6.3647
_cell_length_c 8.0945
_cell_angle_alpha 90.00
_cell_angle_beta 90.00
_cell_angle_gamma 90.00
_symmetry_space_group_name_H-M 'C m m m'
_symmetry_Int_Tables_number 65
_symmetry_space_group_name_Hall '-C 2 2'
loop_
_atom_site_label
_atom_site_fract_x
_atom_site_fract_y
_atom_site_fract_z
Co1 0.0000 0.0000 0.0000
Pt1 0.0000 0.0000 0.5000
Br1 0.0000 0.5000 0.2273
```

Summary:
* raw formation energy: 0.60 eV/atom

=====

VASP calculation (PBE) on a relaxed CoPtBr2 crystal.

The structure in CIF format:
```
data_CoPtBr2
_chemical_formula_sum 'Co1 Pt1 Br2'
_cell_length_a 3.3399
_cell_length_b 3.9679
_cell_length_c 6.5678
_cell_angle_alpha 90.00
_cell_angle_beta 90.00
_cell_angle_gamma 90.00
_symmetry_space_group_name_H-M 'P m m m'
_symmetry_Int_Tables_number 47
loop_
_symmetry_equiv_pos_as_xyz
'x,y,z'
'-x,-y,-z'
'-x,-y,z'
'x,y,-z'
'x,-y,-z'
'-x,y,z'
'-x,y,-z'
'x,-y,z'
loop_
_atom_site_label
_atom_site_fract_x
_atom_site_fract_y
_atom_site_fract_z
Co1 0.0000 0.0000 0.0000
Pt1 0.5000 0.0000 0.5000
Br1 0.0000 0.5000 0.5000
Br2 0.5000 0.5000 0.0000
```

Summary:
* raw formation energy: 0.56 eV/atom

=====

VASP calculation (PBE) on a relaxed CoPtBr2 crystal.

The structure in CIF format:
```
data_CoPtBr2
_chemical_formula_sum 'Co2 Pt2 Br4'
_cell_length_a 3.1869
_cell_length_b 6.5759
_cell_length_c 8.0725
_cell_angle_alpha 90.00
_cell_angle_beta 90.00
_cell_angle_gamma 90.00
_symmetry_space_group_name_H-M 'I m m m'
_symmetry_Int_Tables_number 71
_symmetry_space_group_name_Hall '-I 2 2'
loop_
_atom_site_label
_atom_site_fract_x
_atom_site_fract_y
_atom_site_fract_z
Co1 0.0000 0.0000 0.0000
Pt1 0.0000 0.0000 0.5000
Br1 0.0000 0.5000 0.2687
```

Summary:
* raw formation energy: 0.58 eV/atom